Entry from Alexandria: LiAsP2 after structural relaxation (PBE-GGA).

a = 8.875 Å, b = 8.875 Å, c = 8.875 Å
α = 18.61°, β = 18.61°, γ = 18.61°
Positions (direct):
Li (0.750, 0.750, 0.750)
P (0.494, 0.494, 0.494)
As (0.250, 0.250, 0.250)
P (0.006, 0.006, 0.006)

## Properties
Mass density (g cm⁻³): 3.84
Energy of formation from the pure elements (meV/atom): 302
E_tot (eV/cell): -16.18


Entry from Alexandria: LiAsP2 after structural relaxation (PBE-GGA).

a = 3.836 Å, b = 4.035 Å, c = 4.080 Å
α = 90.00°, β = 90.00°, γ = 90.00°
Positions (direct):
P (0.500, 0.500, 0.000)
As (0.500, 0.000, 0.500)
P (0.000, 0.000, 0.000)
Li (0.000, 0.500, 0.500)

## Properties
Mass density (g cm⁻³): 3.78
Energy of formation from the pure elements (meV/atom): 170
E_tot (eV/cell): -16.70


Entry from Alexandria: LiAsP2 after structural relaxation (PBE-GGA).

a = 5.891 Å, b = 5.891 Å, c = 6.430 Å
α = 62.74°, β = 62.74°, γ = 90.00°
Positions (direct):
Li (0.500, 0.500, 0.000)
As (0.000, 0.000, 0.000)
Li (0.250, 0.750, 0.500)
P (0.875, 0.900, 0.750)
As (0.750, 0.250, 0.500)
P (0.100, 0.625, 0.250)
P (0.375, 0.350, 0.750)
P (0.650, 0.125, 0.250)

## Properties
Mass density (g cm⁻³): 2.81
Energy of formation from the pure elements (meV/atom): -55
E_tot (eV/cell): -35.21


Entry from Alexandria: Li2AsP after structural relaxation (PBE-GGA).

a = 4.526 Å, b = 4.526 Å, c = 4.526 Å
α = 60.00°, β = 60.00°, γ = 60.00°
Positions (direct):
Li (0.000, 0.000, 0.000)
P (0.750, 0.750, 0.750)
Li (0.250, 0.250, 0.250)
As (0.500, 0.500, 0.500)

## Properties
Excess energy over the best structure of this formula in the dataset (meV per atom): 321
Mass density (g cm⁻³): 3.03
Energy of formation from the pure elements (meV/atom): -110
E_tot (eV/cell): -14.33